1.
Tl8Hg5Sb: optimized geometry, PBE.

Calculated values
The value obtained for the density is 10.52 Mg/m³. Its total magnetization is 0.00 μB per formula unit. The formation energy from raw total energies is -0.3 kJ/mol of atoms.

a = 8.2722 Å, b = 8.2722 Å, c = 8.2722 Å
α = 109.80°, β = 108.81°, γ = 109.80°
Fractional coordinates of all 14 atoms:
Tl (0.7906, 0.2356, 0.3863)
Tl (0.9842, 0.1067, 0.7453)
Tl (0.4450, 0.5957, 0.2094)
Tl (0.1225, 0.7611, 0.0158)
Tl (0.6386, 0.8933, 0.8775)
Tl (0.1507, 0.7644, 0.5550)
Tl (0.2547, 0.2389, 0.3614)
Tl (0.6137, 0.4043, 0.8493)
Hg (0.8679, 0.8457, 0.2537)
Hg (0.7463, 0.6142, 0.5920)
Hg (0.4080, 0.1543, 0.0222)
Hg (0.5000, 0.0000, 0.5000)
Hg (0.9778, 0.3858, 0.1321)
Sb (0.2500, 0.5000, 0.7500)



2.
Tl6Hg2Sb: optimized geometry, PBE.

Calculated values
The value obtained for the density is 10.22 Mg/m³. Its total magnetization is 0.00 μB per formula unit. The formation energy from raw total energies is -1.7 kJ/mol of atoms.

a = 4.4453 Å, b = 8.5900 Å, c = 8.5904 Å
α = 120.00°, β = 90.00°, γ = 90.00°
Fractional coordinates of all 9 atoms:
Hg (0.0000, 0.6668, 0.3337)
Hg (0.0000, 0.3331, 0.6663)
Tl (0.0000, 0.7354, 0.7356)
Tl (0.5000, 0.3977, 0.3977)
Tl (0.0000, 0.2649, 0.0000)
Tl (0.5000, 0.6022, 0.0000)
Tl (0.5000, 0.0000, 0.6023)
Tl (0.0000, 0.9997, 0.2644)
Sb (0.5000, 0.0003, 0.0000)



3.
Tl3Hg2Sb3: optimized geometry, PBE.

Calculated values
The value obtained for the density is 9.14 Mg/m³. Its total magnetization is 0.00 μB per formula unit. The formation energy from raw total energies is 7.3 kJ/mol of atoms.

a = 6.3750 Å, b = 6.3750 Å, c = 8.5433 Å
α = 61.86°, β = 61.86°, γ = 59.19°
Fractional coordinates of all 8 atoms:
Tl (0.8971, 0.8971, 0.2379)
Tl (0.5000, 0.5000, 0.5000)
Tl (0.1029, 0.1029, 0.7621)
Sb (0.5000, 0.0000, 0.0000)
Sb (0.0000, 0.5000, 0.0000)
Sb (0.5000, 0.5000, 0.0000)
Hg (0.8242, 0.8242, 0.6356)
Hg (0.1758, 0.1758, 0.3644)



4.
Tl3Hg2Sb: optimized geometry, PBE.

Calculated values
The value obtained for the density is 10.17 Mg/m³. Its total magnetization is 0.00 μB per formula unit. The formation energy from raw total energies is 0.0 kJ/mol of atoms.

a = 5.1150 Å, b = 7.7658 Å, c = 9.3370 Å
α = 90.00°, β = 90.00°, γ = 90.00°
Fractional coordinates of all 12 atoms:
Sb (0.0000, 0.0643, 0.8593)
Sb (0.0000, 0.5643, 0.1407)
Tl (0.0000, 0.2861, 0.4178)
Tl (0.0000, 0.7861, 0.5822)
Tl (0.5000, 0.2728, 0.0536)
Tl (0.5000, 0.1076, 0.6633)
Tl (0.5000, 0.7728, 0.9464)
Tl (0.5000, 0.6076, 0.3367)
Hg (0.5000, 0.0146, 0.3379)
Hg (0.5000, 0.5146, 0.6621)
Hg (0.0000, 0.4559, 0.8266)
Hg (0.0000, 0.9559, 0.1734)



5.
TlHg2Sb: optimized geometry, PBE.

Calculated values
The value obtained for the density is 9.46 Mg/m³. Its total magnetization is 0.00 μB per formula unit. The formation energy from raw total energies is 4.7 kJ/mol of atoms.

a = 4.9738 Å, b = 4.9738 Å, c = 6.6157 Å
α = 67.92°, β = 67.92°, γ = 60.00°
Fractional coordinates of all 4 atoms:
Tl (0.4957, 0.4957, 0.5129)
Sb (0.6965, 0.6965, 0.9106)
Hg (0.2550, 0.2550, 0.2350)
Hg (0.0528, 0.0528, 0.8415)



6.
Tl6Hg3Sb: optimized geometry, PBE.

Calculated values
The value obtained for the density is 10.72 Mg/m³. Its total magnetization is 0.00 μB per formula unit. The formation energy from raw total energies is -0.5 kJ/mol of atoms.

a = 5.3468 Å, b = 9.8373 Å, c = 11.7943 Å
α = 103.05°, β = 90.00°, γ = 90.00°
Fractional coordinates of all 20 atoms:
Tl (0.2500, 0.4639, 0.1063)
Tl (0.7500, 0.5361, 0.8937)
Tl (0.2500, 0.1495, 0.2133)
Tl (0.7500, 0.7696, 0.4852)
Tl (0.2500, 0.6262, 0.7051)
Tl (0.7500, 0.8505, 0.7867)
Tl (0.7500, 0.9393, 0.0874)
Tl (0.2500, 0.2304, 0.5148)
Tl (0.7500, 0.1529, 0.6793)
Tl (0.2500, 0.0607, 0.9126)
Tl (0.2500, 0.8471, 0.3207)
Tl (0.7500, 0.3738, 0.2949)
Hg (0.7500, 0.4638, 0.5880)
Hg (0.2500, 0.7514, 0.9908)
Hg (0.7500, 0.2486, 0.0092)
Hg (0.2500, 0.5362, 0.4120)
Hg (0.2500, 0.3376, 0.8132)
Hg (0.7500, 0.6624, 0.1868)
Sb (0.7500, 0.0681, 0.3676)
Sb (0.2500, 0.9319, 0.6324)



7.
TlHg2Sb2: optimized geometry, PBE.

Calculated values
The value obtained for the density is 9.90 Mg/m³. Its total magnetization is 0.00 μB per formula unit. The formation energy from raw total energies is 13.5 kJ/mol of atoms.

a = 8.9227 Å, b = 8.9227 Å, c = 3.5770 Å
α = 90.00°, β = 90.00°, γ = 90.00°
Fractional coordinates of all 10 atoms:
Sb (0.1417, 0.6417, 0.5000)
Sb (0.8583, 0.3583, 0.5000)
Sb (0.3583, 0.1417, 0.5000)
Sb (0.6417, 0.8583, 0.5000)
Hg (0.3456, 0.8456, 0.0000)
Hg (0.6544, 0.1544, 0.0000)
Hg (0.8456, 0.6544, 0.0000)
Hg (0.1544, 0.3456, 0.0000)
Tl (0.0000, 0.0000, 0.0000)
Tl (0.5000, 0.5000, 0.0000)



8.
Tl6Hg10Sb: optimized geometry, PBE.

Calculated values
The value obtained for the density is 11.11 Mg/m³. Its total magnetization is 0.00 μB per formula unit. The formation energy from raw total energies is 1.4 kJ/mol of atoms.

a = 6.3680 Å, b = 9.5361 Å, c = 9.5361 Å
α = 120.00°, β = 90.00°, γ = 90.00°
Fractional coordinates of all 17 atoms:
Hg (0.8070, 0.7463, 0.7463)
Hg (0.1930, 0.2537, 0.2537)
Hg (0.8070, 0.2537, 0.0000)
Hg (0.0000, 0.3333, 0.6667)
Hg (0.1930, 0.7463, 0.0000)
Hg (0.5000, 0.6667, 0.3333)
Hg (0.5000, 0.3333, 0.6667)
Hg (0.8070, 0.0000, 0.2537)
Hg (0.1930, 0.0000, 0.7463)
Hg (0.0000, 0.6667, 0.3333)
Tl (0.7230, 0.3853, 0.3853)
Tl (0.2770, 0.0000, 0.3853)
Tl (0.7230, 0.0000, 0.6147)
Tl (0.2770, 0.6147, 0.6147)
Tl (0.7230, 0.6147, 0.0000)
Tl (0.2770, 0.3853, 0.0000)
Sb (0.5000, 0.0000, 0.0000)



| no. | E_tot (Ry per atom) |
| --- | --- |
| 1 | -0.129 |
| 2 | -0.156 |
| 3 | -0.179 |
| 4 | -0.145 |
| 5 | -0.127 |
| 6 | -0.142 |
| 7 | -0.155 |
| 8 | -0.091 |